Material: LiMoAu2
Method: DFT, PBE
State: relaxed

## Properties
crystal system	tetragonal
offset from the most stable computed form	17.4	kJ per mole of atoms
density of states at the Fermi level	3.27	states/eV/f.u.

Lattice parameters (Å, degrees): 2.7782 2.7782 8.4571 90.00 90.00 90.00
Space group P4mm (No. 99)
Unique sites:
Li 0.0000 0.0000 0.0000 x1
Mo 0.5000 0.5000 0.2556 x1
Au 0.0000 0.0000 0.5054 x1
Au 0.5000 0.5000 0.7817 x1